1.
Here is a relaxed Gd3Sn3Pd2Pt crystal from OQMD via LeMat-Bulk. Energies are from PBE-GGA.

Cell: 7.563 7.563 4.049 Å, 90.00 90.00 120.00°
Atoms (fractional coordinates):
Gd: 0.000 0.595 0.000
Gd: 0.405 0.405 0.000
Gd: 0.595 0.000 0.000
Sn: 0.000 0.257 0.500
Sn: 0.257 0.000 0.500
Sn: 0.743 0.743 0.500
Pd: 0.333 0.667 0.500
Pd: 0.667 0.333 0.500
Pt: 0.000 0.000 0.000

Results
SG: No. 189
Energy in eV per atom: -5.693


2.
Here is a relaxed BaHgTeO crystal from OQMD via LeMat-Bulk. Energies are from PBE-GGA.

Cell: 8.067 8.196 14.147 Å, 90.00 90.00 90.00°
Atoms (fractional coordinates):
Ba: 0.120 0.087 0.210
Ba: 0.120 0.413 0.710
Ba: 0.380 0.587 0.210
Ba: 0.380 0.913 0.710
Ba: 0.620 0.087 0.290
Ba: 0.620 0.413 0.790
Ba: 0.880 0.587 0.290
Ba: 0.880 0.913 0.790
Hg: 0.032 0.728 0.056
Hg: 0.032 0.772 0.556
Hg: 0.468 0.228 0.056
Hg: 0.468 0.272 0.556
Hg: 0.532 0.728 0.444
Hg: 0.532 0.772 0.944
Hg: 0.968 0.228 0.444
Hg: 0.968 0.272 0.944
Te: 0.240 0.546 0.463
Te: 0.240 0.954 0.963
Te: 0.260 0.046 0.463
Te: 0.260 0.454 0.963
Te: 0.740 0.546 0.037
Te: 0.740 0.954 0.537
Te: 0.760 0.046 0.037
Te: 0.760 0.454 0.537
O: 0.109 0.742 0.711
O: 0.109 0.758 0.211
O: 0.391 0.242 0.711
O: 0.391 0.258 0.211
O: 0.609 0.742 0.789
O: 0.609 0.758 0.289
O: 0.891 0.242 0.789
O: 0.891 0.258 0.289

Results
SG: No. 61
Energy in eV per atom: -3.839


3.
Here is a relaxed La2Y crystal from OQMD via LeMat-Bulk. Energies are from PBE-GGA.

Cell: 9.203 9.203 9.203 Å, 60.00 60.00 60.00°
Atoms (fractional coordinates):
La: 0.000 0.000 0.000
La: 0.000 0.000 0.500
La: 0.000 0.500 0.000
La: 0.500 0.000 0.000
Y: 0.125 0.125 0.125
Y: 0.875 0.875 0.875

Results
Energy relative to the elements in meV/atom: 1964
SG: No. 227
Energy in eV per atom: -3.473


4.
Here is a relaxed ZnSiTc crystal from OQMD via LeMat-Bulk. Energies are from PBE-GGA.

Cell: 4.020 4.020 4.020 Å, 60.00 60.00 60.00°
Atoms (fractional coordinates):
Zn: 0.000 0.000 0.000
Si: 0.750 0.750 0.750
Tc: 0.500 0.500 0.500

Results
SG: No. 216
Energy in eV per atom: -5.653